Record 1
First-principles (PBE) data for a relaxed structure of Sc2TlIn, as listed in Alexandria via LeMat-Bulk.

a b c (Å): 11.0680 11.0680 11.0680
angles (deg): 17.43 17.43 17.43
With the nearest neighbours (Å) after each atom.
Sites, in units of the cell vectors:
In 0.0000 0.0000 0.0000  2 Sc 3.02, 6 In 3.35
Sc 0.0923 0.0923 0.0923  1 In 3.02, 3 Tl 3.11, 6 Sc 3.35
Sc 0.9077 0.9077 0.9077  1 In 3.02, 3 Tl 3.11, 6 Sc 3.35
Tl 0.5000 0.5000 0.5000  6 Sc 3.11, 6 Tl 3.35

Calculated values
Excess energy over the best structure of this formula in the dataset ... 1.65 eV/f.u.
DOS(E_F) ... 8.97 states/eV per cell
Magnetization ... 0.00 μB/cell
Formation energy ... 0.069 eV per atom
VASP energy ... -17.49 eV for the cell shown

Record 2
First-principles (PBE) data for a relaxed structure of Sc5Tl6In, as listed in Alexandria via LeMat-Bulk.

a b c (Å): 4.6808 8.7113 8.6038
angles (deg): 120.41 105.79 90.00
With the nearest neighbours (Å) after each atom.
Sites, in units of the cell vectors:
Sc 0.6433 0.1433 0.2866  2 In 3.09, 8 Tl 3.11-3.34, 2 Sc 3.46
Tl 0.5000 0.2717 0.0000  6 Sc 3.07-3.17, 2 In 3.33, 4 Tl 3.36-3.37
Tl 0.8284 0.5675 0.6569  7 Sc 3.13-3.34, 4 Tl 3.22-3.37, 1 In 3.32
Sc 0.3243 0.3243 0.6485  8 Tl 3.13-3.17, 4 Sc 3.41-3.46
Sc 0.0000 0.5000 0.0000  8 Tl 3.07-3.19, 4 Sc 3.41
Sc 0.6757 0.6757 0.3515  8 Tl 3.13-3.17, 4 Sc 3.41-3.46
Tl 0.1716 0.9106 0.3431  7 Sc 3.13-3.34, 4 Tl 3.22-3.37, 1 In 3.32
In 0.0000 0.0000 0.0000  4 Sc 3.09, 8 Tl 3.32-3.33
Tl 0.5000 0.7283 0.0000  6 Sc 3.07-3.17, 2 In 3.33, 4 Tl 3.36-3.37
Tl 0.8284 0.0894 0.6569  7 Sc 3.13-3.34, 4 Tl 3.22-3.37, 1 In 3.32
Sc 0.3567 0.8567 0.7134  2 In 3.09, 8 Tl 3.11-3.34, 2 Sc 3.46
Tl 0.1716 0.4325 0.3431  7 Sc 3.13-3.34, 4 Tl 3.22-3.37, 1 In 3.32

Calculated values
DOS(E_F) ... 7.89 states/eV per cell
Magnetization ... 0.44 μB/cell
Formation energy ... -0.211 eV per atom
VASP energy ... -51.13 eV for the cell shown

Record 3
First-principles (PBE) data for a relaxed structure of ScTlIn2, as listed in Alexandria via LeMat-Bulk.

a b c (Å): 7.2438 5.4916 3.4899
angles (deg): 90.02 61.16 120.42
With the nearest neighbours (Å) after each atom.
Sites, in units of the cell vectors:
In 0.0000 0.0000 0.0000  4 In 3.17-3.49, 4 Sc 3.25, 4 Tl 3.25
Sc 0.0000 0.5000 0.5000  2 Tl 3.17, 8 In 3.25, 2 Sc 3.49
In 0.5000 0.0000 0.5000  4 In 3.17-3.49, 4 Tl 3.25, 4 Sc 3.25
Tl 0.5000 0.5000 0.0000  2 Sc 3.17, 8 In 3.25, 2 Tl 3.49

Calculated values
DOS(E_F) ... 2.61 states/eV per cell
Magnetization ... 0.00 μB/cell
Formation energy ... -0.169 eV per atom
VASP energy ... -14.85 eV for the cell shown

Record 4
First-principles (PBE) data for a relaxed structure of ScTlIn2, as listed in Alexandria via LeMat-Bulk.

a b c (Å): 10.4940 10.4940 10.4940
angles (deg): 18.74 18.74 18.74
With the nearest neighbours (Å) after each atom.
Sites, in units of the cell vectors:
Tl 0.7500 0.7500 0.7500  6 In 3.38, 6 Tl 3.42
In 0.5054 0.5054 0.5054  3 Sc 3.11, 3 Tl 3.38, 6 In 3.42
Sc 0.2500 0.2500 0.2500  6 In 3.11, 6 Sc 3.42
In 0.9946 0.9946 0.9946  3 Sc 3.11, 3 Tl 3.38, 6 In 3.42

Calculated values
DOS(E_F) ... 2.57 states/eV per cell
Magnetization ... 0.00 μB/cell
Formation energy ... -0.113 eV per atom
VASP energy ... -14.63 eV for the cell shown

Record 5
First-principles (PBE) data for a relaxed structure of Sc2TlIn, as listed in Alexandria via LeMat-Bulk.

a b c (Å): 3.4896 4.5055 6.1780
angles (deg): 90.00 90.00 90.00
With the nearest neighbours (Å) after each atom.
Sites, in units of the cell vectors:
Sc 0.0000 0.0000 0.9857  2 Tl 3.05-3.13, 4 In 3.13, 4 Sc 3.31
In 0.5000 0.5000 0.7764  6 Sc 2.98-3.20
Tl 0.0000 0.0000 0.4791  6 Sc 3.05-3.16, 4 In 3.39
Sc 0.5000 0.5000 0.2588  2 In 2.98-3.20, 4 Tl 3.16, 4 Sc 3.31

Calculated values
Excess energy over the best structure of this formula in the dataset ... 0.73 eV/f.u.
DOS(E_F) ... 4.85 states/eV per cell
Magnetization ... 0.00 μB/cell
Formation energy ... -0.162 eV per atom
VASP energy ... -18.42 eV for the cell shown

Record 6
First-principles (PBE) data for a relaxed structure of Sc6TlIn, as listed in Alexandria via LeMat-Bulk.

a b c (Å): 4.5241 4.5241 9.0464
angles (deg): 90.00 90.00 90.00
With the nearest neighbours (Å) after each atom.
Sites, in units of the cell vectors:
Sc 0.0000 0.5000 0.2510  8 Sc 3.19-3.20, 2 In 3.19, 2 Tl 3.20
Tl 0.0000 0.0000 0.0000  12 Sc 3.20
Sc 0.5000 0.0000 0.7490  2 In 3.19, 8 Sc 3.19-3.20, 2 Tl 3.20
In 0.0000 0.0000 0.5000  12 Sc 3.19-3.20
Sc 0.5000 0.0000 0.2510  2 In 3.19, 8 Sc 3.19-3.20, 2 Tl 3.20
Sc 0.0000 0.5000 0.7490  8 Sc 3.19-3.20, 2 In 3.19, 2 Tl 3.20
Sc 0.5000 0.5000 0.0000  4 Tl 3.20, 8 Sc 3.20
Sc 0.5000 0.5000 0.5000  8 Sc 3.19, 4 In 3.20

Calculated values
Excess energy over the best structure of this formula in the dataset ... 0.00 eV/f.u.
DOS(E_F) ... 9.56 states/eV per cell
Magnetization ... 3.27 μB/cell
Formation energy ... -0.247 eV per atom
VASP energy ... -45.07 eV for the cell shown

Record 7
First-principles (PBE) data for a relaxed structure of Sc6Tl2In, as listed in Alexandria via LeMat-Bulk.

a b c (Å): 4.8696 6.8935 8.4414
angles (deg): 114.10 106.77 90.00
With the nearest neighbours (Å) after each atom.
Sites, in units of the cell vectors:
Tl 0.6667 0.6669 0.3338  8 Sc 2.99
In 0.0000 0.0000 0.0000  8 Sc 2.97-2.98
Tl 0.3333 0.3331 0.6662  8 Sc 2.99
Sc 0.8342 0.5849 0.6681  1 In 2.97, 3 Tl 2.99
Sc 0.1658 0.4151 0.3319  1 In 2.97, 3 Tl 2.99
Sc 0.8342 0.0832 0.6681  1 In 2.97, 3 Tl 2.99
Sc 0.1658 0.9168 0.3319  1 In 2.97, 3 Tl 2.99
Sc 0.5000 0.2487 0.0000  2 In 2.98, 2 Tl 2.99
Sc 0.5000 0.7513 0.0000  2 In 2.98, 2 Tl 2.99

Calculated values
DOS(E_F) ... 13.42 states/eV per cell
Magnetization ... 0.88 μB/cell
Formation energy ... -0.015 eV per atom
VASP energy ... -45.60 eV for the cell shown

Record 8
First-principles (PBE) data for a relaxed structure of Sc4TlIn, as listed in Alexandria via LeMat-Bulk.

a b c (Å): 4.8731 4.8728 8.4412
angles (deg): 73.21 73.22 60.00
With the nearest neighbours (Å) after each atom.
Sites, in units of the cell vectors:
Sc 0.1256 0.1256 0.6232  3 In 2.98, 1 Tl 3.00
Tl 0.0000 0.0000 0.0000  8 Sc 2.99-3.00
Sc 0.8744 0.8744 0.3768  3 In 2.98, 1 Tl 3.00
Sc 0.3756 0.3755 0.8732  1 In 2.97, 3 Tl 2.99
In 0.5000 0.5000 0.5000  8 Sc 2.97-2.98
Sc 0.6244 0.6245 0.1268  1 In 2.97, 3 Tl 2.99

Calculated values
Excess energy over the best structure of this formula in the dataset ... 0.15 eV/f.u.
DOS(E_F) ... 9.03 states/eV per cell
Magnetization ... 0.51 μB/cell
Formation energy ... -0.023 eV per atom
VASP energy ... -30.57 eV for the cell shown

- Look up the magnetization of the first one.
  0.00 μB/cell

- Among the records above, which one has the highest DOS(E_F)?
  Sc6Tl2In